Entry 1:
# PBE-GGA CaAc2Si2, optimized geometry
# Mass density ... 6.1 g/cm3
# Polymorph energy (0 for the lowest one) ... 98 meV/atom
data_CaAc2Si2
_cell_length_a 12.9125
_cell_length_b 4.6591
_cell_length_c 11.3265
_cell_angle_alpha 90.00
_cell_angle_beta 117.93
_cell_angle_gamma 90.00
_symmetry_space_group_name_H-M 'C 1 2/m 1'
_symmetry_Int_Tables_number 12
_symmetry_space_group_name_Hall '-C 2y'
loop_
_atom_site_label
_atom_site_fract_x
_atom_site_fract_y
_atom_site_fract_z
Ca1 0.2261 0.0000 0.3725
Ac1 0.0143 0.5000 0.6881
Ac2 0.1820 0.5000 0.0946
Si1 0.0059 0.0000 0.8955
Si2 0.1107 0.0000 0.5583

***

Entry 2:
# PBE-GGA Ca4Ac3Si4, optimized geometry
# Mass density ... 4.8 g/cm3
# Total energy ... -4.254 eV/atom
data_Ca4Ac3Si4
_cell_length_a 4.4298
_cell_length_b 8.9385
_cell_length_c 16.6455
_cell_angle_alpha 90.00
_cell_angle_beta 90.00
_cell_angle_gamma 90.00
_symmetry_space_group_name_H-M 'I m m m'
_symmetry_Int_Tables_number 71
_symmetry_space_group_name_Hall '-I 2 2'
loop_
_atom_site_label
_atom_site_fract_x
_atom_site_fract_y
_atom_site_fract_z
Ca1 0.0000 0.1898 0.1734
Ac1 0.0000 0.0000 0.3976
Ac2 0.0000 0.5000 0.5000
Si1 0.0000 0.2786 0.0000
Si2 0.0000 0.5000 0.2550

***

Entry 3:
# PBE-GGA CaAc12Si6, optimized geometry
# Mass density ... 7.0 g/cm3
# Polymorph energy (0 for the lowest one) ... 0 meV/atom
data_CaAc12Si6
_cell_length_a 11.1615
_cell_length_b 11.1615
_cell_length_c 11.1615
_cell_angle_alpha 90.00
_cell_angle_beta 90.00
_cell_angle_gamma 90.00
_symmetry_space_group_name_H-M 'I m -3'
_symmetry_Int_Tables_number 204
_symmetry_space_group_name_Hall '-I 2 2 3'
loop_
_atom_site_label
_atom_site_fract_x
_atom_site_fract_y
_atom_site_fract_z
Ca1 0.0000 0.0000 0.0000
Ac1 0.0000 0.3059 0.1912
Si1 0.0000 0.1077 0.5000

***

Entry 4:
# PBE-GGA CaAcSi4, optimized geometry
# Mass density ... 4.6 g/cm3
# Polymorph energy (0 for the lowest one) ... 0 meV/atom
data_CaAcSi4
_cell_length_a 7.5357
_cell_length_b 16.2467
_cell_length_c 4.4400
_cell_angle_alpha 90.00
_cell_angle_beta 90.00
_cell_angle_gamma 90.00
_symmetry_space_group_name_H-M 'P b a m'
_symmetry_Int_Tables_number 55
_symmetry_space_group_name_Hall '-P 2 2ab'
loop_
_atom_site_label
_atom_site_fract_x
_atom_site_fract_y
_atom_site_fract_z
Ca1 0.1351 0.0860 0.0000
Ac1 0.1322 0.3380 0.0000
Si1 0.0230 0.8117 0.5000
Si2 0.1106 0.5520 0.5000
Si3 0.1365 0.9570 0.5000
Si4 0.2060 0.6956 0.5000

***

Entry 5:
# PBE-GGA CaAc12Si7, optimized geometry
# Mass density ... 6.2 g/cm3
# Total energy ... -4.695 eV/atom
data_CaAc12Si7
_cell_length_a 16.2362
_cell_length_b 16.2362
_cell_length_c 10.4411
_cell_angle_alpha 90.00
_cell_angle_beta 90.00
_cell_angle_gamma 120.00
_symmetry_space_group_name_H-M 'R -3'
_symmetry_Int_Tables_number 148
_symmetry_space_group_name_Hall '-R 3'
loop_
_atom_site_label
_atom_site_fract_x
_atom_site_fract_y
_atom_site_fract_z
Ca1 0.0000 0.0000 0.0000
Ac1 0.0370 0.5984 0.6624
Ac2 0.0530 0.1774 0.3372
Si1 0.0000 0.0000 0.5000
Si2 0.0559 0.1850 0.8210

***

Entry 6:
# PBE-GGA Ca2AcSi4, optimized geometry
# Mass density ... 4.2 g/cm3
# Total energy ... -4.806 eV/atom
data_Ca2AcSi4
_cell_length_a 3.9634
_cell_length_b 4.6273
_cell_length_c 17.9972
_cell_angle_alpha 90.00
_cell_angle_beta 90.00
_cell_angle_gamma 90.00
_symmetry_space_group_name_H-M 'I m m m'
_symmetry_Int_Tables_number 71
_symmetry_space_group_name_Hall '-I 2 2'
loop_
_atom_site_label
_atom_site_fract_x
_atom_site_fract_y
_atom_site_fract_z
Ca1 0.0000 0.0000 0.1839
Ac1 0.0000 0.5000 0.5000
Si1 0.0000 0.0000 0.3549
Si2 0.0000 0.5000 0.0683

***

Entry 7:
# PBE-GGA CaAc3Si, optimized geometry
# Mass density ... 5.5 g/cm3
# Total energy ... -3.988 eV/atom
data_CaAc3Si
_cell_length_a 6.0947
_cell_length_b 6.0947
_cell_length_c 6.0947
_cell_angle_alpha 90.00
_cell_angle_beta 90.00
_cell_angle_gamma 90.00
_symmetry_space_group_name_H-M 'P m -3 m'
_symmetry_Int_Tables_number 221
_symmetry_space_group_name_Hall '-P 4 2 3'
loop_
_atom_site_label
_atom_site_fract_x
_atom_site_fract_y
_atom_site_fract_z
Ca1 0.0000 0.0000 0.0000
Ac1 0.0000 0.5000 0.5000
Si1 0.5000 0.5000 0.5000

***

Entry 8:
# PBE-GGA Ca2AcSi6, optimized geometry
# Mass density ... 3.9 g/cm3
# Polymorph energy (0 for the lowest one) ... 127 meV/atom
data_Ca2AcSi6
_cell_length_a 4.0540
_cell_length_b 8.8661
_cell_length_c 11.3410
_cell_angle_alpha 90.00
_cell_angle_beta 90.00
_cell_angle_gamma 90.00
_symmetry_space_group_name_H-M 'I m m m'
_symmetry_Int_Tables_number 71
_symmetry_space_group_name_Hall '-I 2 2'
loop_
_atom_site_label
_atom_site_fract_x
_atom_site_fract_y
_atom_site_fract_z
Ca1 0.0000 0.0000 0.1516
Ac1 0.0000 0.5000 0.0000
Si1 0.0000 0.2357 0.3170
Si2 0.0000 0.3527 0.5000

***

Entry 9:
# PBE-GGA CaAc4Si4, optimized geometry
# Mass density ... 6.2 g/cm3
# Total energy ... -4.859 eV/atom
data_CaAc4Si4
_cell_length_a 9.3300
_cell_length_b 9.3300
_cell_length_c 6.4954
_cell_angle_alpha 90.00
_cell_angle_beta 90.00
_cell_angle_gamma 90.00
_symmetry_space_group_name_H-M 'P 42/n'
_symmetry_Int_Tables_number 86
loop_
_symmetry_equiv_pos_as_xyz
'x,y,z'
'-x,-y,-z'
'-y,x+1/2,z+1/2'
'y,-x+1/2,-z+1/2'
'-x+1/2,-y+1/2,z'
'x+1/2,y+1/2,-z'
'y+1/2,-x,z+1/2'
'-y+1/2,x,-z+1/2'
loop_
_atom_site_label
_atom_site_fract_x
_atom_site_fract_y
_atom_site_fract_z
Ca1 0.2500 0.2500 0.2500
Ac1 0.0576 0.6680 0.1088
Si1 0.9996 0.3861 0.4083

***

Entry 10:
# PBE-GGA Ca3Ac3Si4, optimized geometry
# Mass density ... 5.2 g/cm3
# Total energy ... -4.547 eV/atom
data_Ca3Ac3Si4
_cell_length_a 4.6849
_cell_length_b 11.1588
_cell_length_c 11.1463
_cell_angle_alpha 90.00
_cell_angle_beta 90.00
_cell_angle_gamma 90.00
_symmetry_space_group_name_H-M 'A m m 2'
_symmetry_Int_Tables_number 38
_symmetry_space_group_name_Hall 'A 2 -2'
loop_
_atom_site_label
_atom_site_fract_x
_atom_site_fract_y
_atom_site_fract_z
Ca1 0.0000 0.0000 0.0000
Ca2 0.5000 0.2442 0.9274
Ac1 0.0000 0.0000 0.3514
Ac2 0.0000 0.1780 0.6766
Si1 0.5000 0.0000 0.5670
Si2 0.5000 0.0000 0.7887
Si3 0.5000 0.1096 0.1739

***

Entry 11:
# PBE-GGA CaAc5Si4, optimized geometry
# Mass density ... 5.9 g/cm3
# Total energy ... -4.726 eV/atom
data_CaAc5Si4
_cell_length_a 20.7720
_cell_length_b 4.6004
_cell_length_c 8.3272
_cell_angle_alpha 90.00
_cell_angle_beta 113.47
_cell_angle_gamma 90.00
_symmetry_space_group_name_H-M 'C 1 2/m 1'
_symmetry_Int_Tables_number 12
_symmetry_space_group_name_Hall '-C 2y'
loop_
_atom_site_label
_atom_site_fract_x
_atom_site_fract_y
_atom_site_fract_z
Ca1 0.0000 0.0000 0.0000
Ac1 0.0000 0.0000 0.5000
Ac2 0.1619 0.5000 0.4037
Ac3 0.1620 0.5000 0.9215
Si1 0.9999 0.5000 0.2421
Si2 0.2042 0.0000 0.2046